Density functional theory data (SCAN) for V2F7 at its PBEsol-relaxed geometry.

abc: 6.764 7.243 7.243
angles: 60.09 62.16 62.16
Positions (direct):
V 0.500 0.500 0.000
V 0.500 0.000 0.500
V 0.500 0.000 0.000
V 0.000 0.500 0.500
F 0.798 0.949 0.949
F 0.816 0.435 0.809
F 0.816 0.809 0.435
F 0.804 0.449 0.449
F 0.413 0.750 0.750
F 0.440 0.935 0.309
F 0.440 0.309 0.935
F 0.560 0.691 0.065
F 0.560 0.065 0.691
F 0.587 0.250 0.250
F 0.196 0.551 0.551
F 0.184 0.191 0.565
F 0.184 0.565 0.191
F 0.202 0.051 0.051

Crystal system ... orthorhombic
Raw formation energy ... -3093 meV/atom
D(E_F) ... 2.60 states/eV/f.u.
Magnetic moment ... 0.33 μB/atom

Density functional theory data (SCAN) for LaGaHgB2 at its PBEsol-relaxed geometry.

abc: 4.284 4.284 5.910
angles: 90.00 90.00 90.00
Positions (direct):
B 0.000 0.500 0.000
B 0.500 0.000 0.000
Hg 0.000 0.000 0.000
Ga 0.500 0.500 0.500
La 0.000 0.000 0.500

ΔH_f (0 K) ... 1.203 eV per atom
Crystal system ... tetragonal
D(E_F) ... 3.40 states/eV/f.u.
Magnetic moment ... 0.00 μB/atom

Density functional theory data (SCAN) for CaLaRu at its PBEsol-relaxed geometry.

abc: 3.441 3.441 7.205
angles: 103.82 103.82 90.00
Positions (direct):
Ru 0.326 0.326 0.652
Ca 0.960 0.960 0.921
La 0.714 0.714 0.427

ΔH_f (0 K) ... -0.079 eV per atom
Crystal system ... tetragonal
D(E_F) ... 2.83 states/eV/f.u.
Magnetic moment ... 0.00 μB/atom

Density functional theory data (SCAN) for YSc4 at its PBEsol-relaxed geometry.

abc: 3.282 3.282 13.402
angles: 82.97 82.97 60.00
Positions (direct):
Y 0.500 0.500 0.500
Sc 0.903 0.903 0.292
Sc 0.301 0.301 0.098
Sc 0.699 0.699 0.902
Sc 0.097 0.097 0.708

ΔH_f (0 K) ... 0.103 eV per atom
Crystal system ... trigonal
D(E_F) ... 8.21 states/eV/f.u.
Magnetic moment ... 0.00 μB/atom

Density functional theory data (SCAN) for PmInRh2 at its PBEsol-relaxed geometry.

abc: 4.689 4.689 4.689
angles: 60.00 60.00 60.00
Positions (direct):
Pm 0.000 0.000 0.000
Rh 0.750 0.750 0.750
Rh 0.250 0.250 0.250
In 0.500 0.500 0.500

ΔH_f (0 K) ... -0.706 eV per atom
Crystal system ... cubic
D(E_F) ... 0.89 states/eV/f.u.
Magnetic moment ... 0.00 μB/atom

Density functional theory data (SCAN) for AlCoCu2 at its PBEsol-relaxed geometry.

abc: 2.608 4.377 4.377
angles: 110.51 90.00 90.00
Positions (direct):
Co 0.500 0.500 0.500
Al 0.500 0.000 0.000
Cu 0.000 0.500 0.000
Cu 0.000 0.000 0.500

ΔH_f (0 K) ... -0.102 eV per atom
Crystal system ... orthorhombic
D(E_F) ... 1.15 states/eV/f.u.
Magnetic moment ... 0.41 μB/atom